VASP calculation (PBE-GGA) on a relaxed Cd5PdPt crystal.

Unit cell a=10.2110 b=9.5863 c=7.4476 alpha=90.00 beta=123.72 gamma=90.00
Last column: nearest neighbours and their distance in Å.
Space group C2/c (No. 15)
Unique sites:
Cd: 0.0000 0.0702 0.2500 x4  1 Pt 2.70, 2 Pd 2.77
Cd: 0.0441 0.3574 0.0912 x8  1 Pt 2.71, 2 Pd 2.76-2.88, 3 Cd 2.96-2.99
Cd: 0.2427 0.4048 0.8715 x8  2 Pt 2.80-2.82, 3 Cd 2.99-3.07
Pd: 0.2500 0.2500 0.5000 x4  6 Cd 2.76-2.88
Pt: 0.0000 0.2109 0.7500 x4  7 Cd 2.70-2.82

**ΔH_f (0 K)**: -0.10 eV per atom
**ρ**: 9.46 Mg/m³


VASP calculation (PBE-GGA) on a relaxed Cd2Pd3Pt2 crystal.

Unit cell a=4.5661 b=2.7729 c=9.7661 alpha=90.00 beta=103.39 gamma=90.00
Last column: nearest neighbours and their distance in Å.
Space group P2/m (No. 10)
Unique sites:
Cd: 0.1404 0.0000 0.2788 x2  4 Pd 2.65-2.85, 2 Cd 2.77, 4 Pt 2.96
Pd: 0.0000 0.0000 0.0000 x1  2 Cd 2.65, 2 Pd 2.77
Pd: 0.2891 0.0000 0.5789 x2  3 Cd 2.65-2.85, 4 Pd 2.73-2.77
Pt: 0.4267 0.5000 0.8556 x2  3 Pt 2.74-2.77, 4 Cd 2.96, 6 Pd 2.97-3.01

**ΔH_f (0 K)**: -0.06 eV per atom
**Energy above the lowest structure with this stoichiometry**: 152 meV/atom
**ρ**: 12.90 Mg/m³


VASP calculation (PBE-GGA) on a relaxed CdPd2Pt crystal.

Unit cell a=5.6390 b=4.0933 c=6.2135 alpha=90.00 beta=113.87 gamma=90.00
Last column: nearest neighbours and their distance in Å.
Space group P2_1/m (No. 11)
Unique sites:
Cd: 0.1979 0.2500 0.1307 x2  7 Pd 2.78-2.89, 3 Pt 2.80-2.88, 2 Cd 2.98
Pd: 0.0638 0.7500 0.3768 x2  4 Pt 2.80-2.88, 5 Pd 2.82-2.90, 3 Cd 2.83-2.89
Pd: 0.3102 0.7500 0.8721 x2  4 Cd 2.78-2.86, 3 Pt 2.81-2.87, 5 Pd 2.82-2.92
Pt: 0.4326 0.2500 0.6238 x2  7 Pd 2.80-2.88, 3 Cd 2.80-2.88, 2 Pt 2.84

**ΔH_f (0 K)**: -0.22 eV per atom
**ρ**: 13.18 Mg/m³


VASP calculation (PBE-GGA) on a relaxed CdPd4Pt7 crystal.

Unit cell a=4.8776 b=5.6089 c=7.1456 alpha=88.62 beta=76.92 gamma=89.78
Last column: nearest neighbours and their distance in Å.
Space group P-1 (No. 2)
Unique sites:
Cd: 0.0000 0.0000 0.0000 x1  10 Pt 2.80-2.88, 2 Pd 2.81
Pd: 0.2222 0.5049 0.3308 x2  4 Pd 2.79-2.86, 8 Pt 2.80-2.85
Pd: 0.2804 0.2506 0.6675 x2  8 Pt 2.78-2.88, 3 Pd 2.79-2.84, 1 Cd 2.81
Pt: 0.0000 0.5000 0.0000 x1  6 Pt 2.79-2.81, 2 Cd 2.80, 4 Pd 2.82-2.85
Pt: 0.2278 0.0052 0.3375 x2  5 Pd 2.78-2.88, 6 Pt 2.79-2.92, 1 Cd 2.88
Pt: 0.2752 0.7466 0.6668 x2  6 Pd 2.78-2.85, 5 Pt 2.79-2.82, 1 Cd 2.86
Pt: 0.4979 0.2533 0.0049 x2  7 Pt 2.77-2.92, 3 Pd 2.80-2.85, 2 Cd 2.82-2.83

**ΔH_f (0 K)**: -0.06 eV per atom
**ρ**: 16.61 Mg/m³


VASP calculation (PBE-GGA) on a relaxed Cd4PdPt4 crystal.

Unit cell a=6.0686 b=6.0686 c=9.5209 alpha=90.00 beta=90.00 gamma=90.00
Last column: nearest neighbours and their distance in Å.
Space group P4_2/nmc (No. 137, origin choice 2)
Unique sites:
Cd: 0.0024 0.7500 0.0142 x8  5 Pt 2.78-2.86, 1 Pd 2.93, 4 Cd 3.00-3.06
Pd: 0.2500 0.7500 0.7500 x2  4 Cd 2.93
Pt: 0.0337 0.2500 0.6868 x8  3 Pt 2.63-2.72, 5 Cd 2.78-2.86

**ΔH_f (0 K)**: -0.11 eV per atom
**Energy above the lowest structure with this stoichiometry**: 135 meV/atom
**ρ**: 12.66 Mg/m³


VASP calculation (PBE-GGA) on a relaxed CdPd6Pt8 crystal.

Unit cell a=6.8780 b=6.8780 c=17.9255 alpha=90.00 beta=90.00 gamma=120.00
Last column: nearest neighbours and their distance in Å.
Space group R-3 (No. 148, hexagonal axes)
Unique sites:
Cd: 0.0000 0.0000 0.0000 x3  6 Pd 2.70, 2 Pt 2.92
Pd: 0.0335 0.7862 0.7113 x18  1 Cd 2.70, 5 Pt 2.71-2.79, 3 Pd 2.77-2.88
Pt: 0.0000 0.0000 0.1631 x6  3 Pt 2.69, 3 Pd 2.76, 1 Cd 2.92
Pt: 0.0439 0.7854 0.5588 x18  5 Pt 2.68-2.85, 4 Pd 2.71-2.79

**ΔH_f (0 K)**: 0.06 eV per atom
**Energy above the lowest structure with this stoichiometry**: 0 meV/atom
**ρ**: 15.68 Mg/m³


VASP calculation (PBE-GGA) on a relaxed Cd4Pd3Pt3 crystal.

Unit cell a=9.0602 b=9.0602 c=9.0602 alpha=90.00 beta=90.00 gamma=90.00
Last column: nearest neighbours and their distance in Å.
Space group I-43d (No. 220)
Unique sites:
Cd: 0.1248 0.1248 0.1248 x16  3 Pd 2.77, 3 Pt 2.78
Pd: 0.0000 0.2500 0.8750 x12  4 Cd 2.77, 4 Pt 2.77
Pt: 0.0000 0.2500 0.3750 x12  4 Pd 2.77, 4 Cd 2.78

**ΔH_f (0 K)**: -0.09 eV per atom
**ρ**: 12.09 Mg/m³


VASP calculation (PBE-GGA) on a relaxed Cd2Pd4Pt5 crystal.

Unit cell a=21.8389 b=2.7572 c=6.5832 alpha=90.00 beta=102.85 gamma=90.00
Last column: nearest neighbours and their distance in Å.
Space group C2/m (No. 12)
Unique sites:
Cd: 0.0887 0.0000 0.2374 x4  2 Cd 2.76, 3 Pt 2.80-2.87, 5 Pd 2.87-3.04
Pd: 0.0350 0.5000 0.8568 x4  3 Pt 2.60-2.68, 3 Pd 2.68-2.76, 2 Cd 2.87
Pd: 0.2185 0.0000 0.1407 x4  6 Pt 2.74-2.84, 4 Pd 2.76-2.89, 1 Cd 3.04
Pt: 0.0000 0.0000 0.5000 x2  4 Pd 2.68, 2 Pt 2.76, 2 Cd 2.87
Pt: 0.1498 0.5000 0.8065 x4  3 Pt 2.57-2.76, 4 Pd 2.60-2.82
Pt: 0.1924 0.5000 0.4723 x4  5 Pt 2.57-2.82, 3 Pd 2.75-2.84, 2 Cd 2.80

**ΔH_f (0 K)**: 0.06 eV per atom
**ρ**: 13.97 Mg/m³


VASP calculation (PBE-GGA) on a relaxed Cd2Pd2Pt7 crystal.

Unit cell a=7.4049 b=8.1484 c=6.5210 alpha=90.00 beta=106.49 gamma=90.00
Last column: nearest neighbours and their distance in Å.
Space group C2/m (No. 12)
Unique sites:
Cd: 0.0000 0.2133 0.0000 x4  4 Pd 2.77-2.85, 6 Pt 2.77-2.85
Pd: 0.1862 0.5000 0.9570 x4  4 Cd 2.77-2.85, 6 Pt 2.86-2.96, 1 Pd 2.97
Pt: 0.0000 0.5000 0.5000 x2  6 Pt 2.68-2.74, 2 Pd 2.91
Pt: 0.1149 0.0000 0.3600 x4  8 Pt 2.69-2.83, 2 Cd 2.85, 1 Pd 2.86
Pt: 0.1735 0.2238 0.6746 x8  6 Pt 2.68-2.91, 2 Cd 2.77-2.78, 2 Pd 2.89-2.96

**ΔH_f (0 K)**: -0.01 eV per atom
**Energy above the lowest structure with this stoichiometry**: 0 meV/atom
**ρ**: 15.87 Mg/m³


VASP calculation (PBE-GGA) on a relaxed CdPdPt3 crystal.

Unit cell a=4.8532 b=4.8532 c=4.8532 alpha=90.00 beta=90.00 gamma=90.00
Last column: nearest neighbours and their distance in Å.
Space group Pm-3m (No. 221)
Unique sites:
Cd: 0.0000 0.0000 0.0000 x1  12 Pt 3.43
Pd: 0.5000 0.5000 0.5000 x1  6 Pt 2.43
Pt: 0.0000 0.5000 0.5000 x3  2 Pd 2.43

**ΔH_f (0 K)**: 1.11 eV per atom
**Energy above the lowest structure with this stoichiometry**: 1282 meV/atom
**ρ**: 11.68 Mg/m³


VASP calculation (PBE-GGA) on a relaxed Cd2Pd3Pt crystal.

Unit cell a=8.6148 b=8.6148 c=11.8280 alpha=90.00 beta=90.00 gamma=90.00
Last column: nearest neighbours and their distance in Å.
Space group I4_1/amd (No. 141, origin choice 2)
Unique sites:
Cd: 0.0000 0.0626 0.2780 x16  7 Pd 2.68-2.91, 1 Pt 2.73
Pd: 0.0000 0.0000 0.5000 x8  6 Cd 2.68-2.71, 4 Pd 2.94
Pd: 0.2080 0.0420 0.8750 x16  4 Cd 2.70-2.91, 2 Pt 2.87, 2 Pd 2.94
Pt: 0.0000 0.2500 0.7614 x8  1 Pt 2.69, 2 Cd 2.73, 4 Pd 2.87

**ΔH_f (0 K)**: -0.01 eV per atom
**Energy above the lowest structure with this stoichiometry**: 283 meV/atom
**ρ**: 11.19 Mg/m³


VASP calculation (PBE-GGA) on a relaxed CdPd9Pt2 crystal.

Unit cell a=3.9628 b=3.9628 c=11.9951 alpha=90.00 beta=90.00 gamma=90.00
Last column: nearest neighbours and their distance in Å.
Space group P4/mmm (No. 123)
Unique sites:
Cd: 0.0000 0.0000 0.0000 x1  12 Pd 2.80-2.86
Pd: 0.0000 0.5000 0.1719 x4  8 Pd 2.79-2.86, 2 Pt 2.81, 2 Cd 2.86
Pd: 0.0000 0.5000 0.5000 x2  4 Pt 2.78, 8 Pd 2.80
Pd: 0.5000 0.5000 0.0000 x1  4 Cd 2.80, 8 Pd 2.86
Pd: 0.5000 0.5000 0.3353 x2  8 Pd 2.79-2.80, 4 Pt 2.80
Pt: 0.0000 0.0000 0.3376 x2  12 Pd 2.78-2.81

**ΔH_f (0 K)**: -0.10 eV per atom
**ρ**: 12.87 Mg/m³